This record from Alexandria describes crystalline Ta2NiIO at its relaxed geometry. The functional is PBE+U.

It has space group P4/mmm (No. 123), with a = 5.144 Å, b = 5.144 Å, c = 3.886 Å, α = 90.00°, β = 90.00° and γ = 90.00°. The inequivalent atoms are Ta at (0.000, 0.500, 0.000), Ni at (0.000, 0.000, 0.500), I at (0.500, 0.500, 0.000) and O at (0.500, 0.500, 0.500).

The density of states at the Fermi level is 1.90 states/eV per atom. Its total energy is -4.466 eV/atom.